(1)
Material: InGaBi3
Method: DFT, GGA-PBEsol
State: optimized geometry

The structure in extended XYZ format:
```
5
Lattice="-3.3305 3.7281 2.1734 0.6351 -2.2920 4.9049 4.2684 3.2500 0.9660" Properties=species:S:1:pos:R:3 pbc="T T T"
Bi -1.6652 1.8641 1.0867
Bi 0.3176 -1.1460 2.4524
Bi 2.1342 1.6250 0.4830
Ga 0.0000 0.0000 0.0000
In 0.7865 2.3430 4.0221
```

Calculated values
- Density: 8.319 g cm⁻³
- Space group: Pm-3m (221)
- DOS at the Fermi energy: 0.62 states/eV/atom
- Raw total energy: -17.05 eV for the cell shown

***

(2)
Material: InGaBi2
Method: DFT, GGA-PBEsol
State: optimized geometry

The structure in extended XYZ format:
```
8
Lattice="-0.9055 3.8507 -5.2040 -6.3781 -1.4308 0.0510 2.5398 3.8426 6.5069" Properties=species:S:1:pos:R:3 pbc="T T T"
Bi -5.3047 1.2349 -0.3911
Bi 0.8583 3.1539 4.2372
Bi -2.5113 4.4249 1.6585
Bi -2.5298 3.7113 -2.7966
In 0.0000 0.0000 0.0000
In -3.7400 1.8109 1.9907
Ga -1.0037 4.4516 -0.6368
Ga -3.6418 1.2100 -2.5765
```

Calculated values
- Density: 7.209 g cm⁻³
- Space group: I-42d (122)
- DOS at the Fermi energy: 0.11 states/eV/atom
- Raw total energy: -29.32 eV for the cell shown

***

(3)
Material: InGa2Bi2
Method: DFT, GGA-PBEsol
State: optimized geometry

The structure in extended XYZ format:
```
10
Lattice="-1.9940 2.8136 -0.1658 -4.1409 -2.5100 7.2085 5.7539 4.3622 4.8242" Properties=species:S:1:pos:R:3 pbc="T T T"
Bi 0.2809 0.7441 9.2483
Bi 3.4316 2.8180 6.5498
Bi -1.8186 -0.9658 5.4829
Bi 1.3320 1.1081 2.7844
In 0.0000 0.0000 0.0000
In 0.8065 0.9261 6.0164
Ga -2.4880 0.8172 7.8440
Ga 1.2936 3.5467 8.6812
Ga 2.1070 3.8486 4.0229
Ga -1.6747 1.1191 3.1857
```

Calculated values
- Density: 8.575 g cm⁻³
- Space group: P4/mbm (127)
- DOS at the Fermi energy: 0.40 states/eV/atom
- Raw total energy: -35.55 eV for the cell shown

***

(4)
Material: InGa2Bi2
Method: DFT, GGA-PBEsol
State: optimized geometry

The structure in extended XYZ format:
```
5
Lattice="-1.9319 3.4967 -1.3060 -2.1943 -2.2535 -2.7878 -3.3517 -1.6968 7.1780" Properties=species:S:1:pos:R:3 pbc="T T T"
Bi -3.2877 0.3784 -0.8864
Bi -4.1902 -0.8321 3.9707
Ga -3.8045 -1.6644 1.1717
Ga -3.6733 1.2107 1.9126
In 0.0000 0.0000 0.0000
```

Calculated values
- Density: 8.384 g cm⁻³
- Space group: I4/mmm (139)
- DOS at the Fermi energy: 0.48 states/eV/atom
- Raw total energy: -17.77 eV for the cell shown

***

(5)
Material: In2GaBiS6
Method: DFT, GGA-PBEsol
State: optimized geometry

The structure in extended XYZ format:
```
20
Lattice="3.7870 0.0000 0.0000 0.0000 11.1317 -0.0586 0.0000 -5.5438 10.9409" Properties=species:S:1:pos:R:3 pbc="T T T"
In 0.9468 -3.0150 7.0532
In 0.9468 1.6940 2.4309
In 2.8403 8.6029 3.8292
In 2.8403 3.8939 8.4515
S 2.8403 1.3396 8.4600
S 0.9468 4.2483 2.4224
S 0.9468 3.7872 6.5505
S 2.8403 1.0981 0.8428
S 2.8403 1.8007 4.3318
S 0.9468 -0.9913 2.9329
S 2.8403 6.5792 7.9495
S 0.9468 4.4898 10.0396
S 2.8403 7.5119 1.3640
S 2.8403 -1.4046 6.2209
S 0.9468 -1.9240 9.5183
S 0.9468 6.9924 4.6615
Ga 0.9468 8.7943 0.9744
Ga 2.8403 -3.2064 9.9080
Bi 2.8403 4.4875 4.2950
Bi 0.9468 1.1004 6.5874
```

Calculated values
- Density: 5.059 g cm⁻³
- Space group: P2_1/m (11)
- Raw formation energy: -570 meV per atom
- DOS at the Fermi energy: 0.00 states/eV/atom
- Raw total energy: -91.20 eV for the cell shown

***

(6)
Material: TaGaBi2Ir
Method: DFT, GGA-PBEsol
State: optimized geometry

The structure in extended XYZ format:
```
5
Lattice="4.8843 0.0000 0.0000 0.0000 5.3260 0.0000 0.0000 0.0000 5.3260" Properties=species:S:1:pos:R:3 pbc="T T T"
Bi 0.0000 2.6630 0.0000
Bi 0.0000 0.0000 2.6630
Ga 2.4421 2.6630 2.6630
Ir 0.0000 0.0000 0.0000
Ta 2.4421 0.0000 0.0000
```

Calculated values
- Density: 10.317 g cm⁻³
- Space group: P4/mmm (123)
- DOS at the Fermi energy: 0.99 states/eV/atom
- Raw total energy: -29.19 eV for the cell shown